## Y3Tl4SnSe8 (GGA-PBE)

Data for a relaxed Y3Tl4SnSe8 crystal.

Unit cell a=8.3991 b=8.3991 c=23.1658 alpha=90.00 beta=90.00 gamma=120.00
Space group R-3m (No. 166, hexagonal axes)
Unique sites:
Y 0.0000 0.5000 0.0000 [9 per cell]
Tl 0.0000 0.0000 0.5000 [3 per cell]
Tl 0.0000 0.5000 0.5000 [9 per cell]
Sn 0.0000 0.0000 0.0000 [3 per cell]
Se 0.0000 0.0000 0.2649 [6 per cell]
Se 0.0002 0.5001 0.2652 [18 per cell]

The value obtained for the uncorrected formation energy is -1135 meV/atom.

***

## Y2Tl3SnSe6 (GGA-PBE)

Data for a relaxed Y2Tl3SnSe6 crystal.

Unit cell a=7.2884 b=12.6383 c=8.0287 alpha=90.00 beta=107.44 gamma=90.00
Space group C2/m (No. 12)
Unique sites:
Y 0.0000 0.1665 0.0000 [4 per cell]
Tl 0.0000 0.0000 0.5000 [2 per cell]
Tl 0.0000 0.3296 0.5000 [4 per cell]
Sn 0.0000 0.5000 0.0000 [2 per cell]
Se 0.2346 0.0000 0.2074 [4 per cell]
Se 0.2350 0.3327 0.2053 [8 per cell]

The value obtained for the uncorrected formation energy is -1048 meV/atom.

***

## TlZnSnSe3 (GGA-PBE)

Data for a relaxed TlZnSnSe3 crystal.

Unit cell a=9.1693 b=4.0068 c=9.6458 alpha=90.00 beta=105.07 gamma=90.00
Space group P2_1/m (No. 11)
Unique sites:
Tl 0.1914 0.2500 0.2246 [2 per cell]
Zn 0.0809 0.2500 0.6021 [2 per cell]
Sn 0.3371 0.7500 0.8695 [2 per cell]
Se 0.1128 0.2500 0.8654 [2 per cell]
Se 0.2031 0.7500 0.5245 [2 per cell]
Se 0.4522 0.7500 0.1669 [2 per cell]

The value obtained for the uncorrected formation energy is -456 meV/atom.

***

no.,calculated density (g cm⁻³)
1,6.5
2,6.5
3,6.1